The following is a PBE-GGA calculation of a geometry-optimized TeAsIr2Rh structure, from the Alexandria database.

Cell: 4.628 4.628 4.618 Å, 90.00 90.00 90.00°
Positions (direct):
Te1 0.000 0.000 0.000
As1 0.500 0.500 0.500
Ir1 0.000 0.500 0.500
Ir2 0.500 0.000 0.500
Rh1 0.500 0.500 0.000

Values from the calculation:
Theoretical density: 11.6 Mg/m³
Electronic total energy: -5.791 eV/atom
Calculated volume: 19.78 Å³/atom
Raw formation energy: 782 meV/atom